No. 1
Li2TlTe after structural relaxation. Source: the Alexandria database, functional PBE-GGA.

Structure (POSCAR):
```
Li2TlTe
1.0
-0.3089 2.6873 -4.8418
2.2803 -0.6116 -5.0186
-3.3730 -2.5816 -1.2245
Li Te Tl
2 1 1
direct
0.9819 0.9819 0.1236
0.7772 0.7772 0.6260
0.4835 0.4835 0.6245
0.2574 0.2574 0.1260
```

Values from the calculation:
E_tot, eV for the cell shown: -11.38
E above lowest polymorph, meV per atom: 41

=====

No. 2
SrTcN3 after structural relaxation. Source: the Alexandria database, functional PBE-GGA.

Structure (POSCAR):
```
SrTcN3
1.0
-0.8058 -3.7915 0.7858
0.1151 -0.8258 -3.8661
4.8699 -0.9624 0.3505
Sr Tc N
1 1 3
direct
0.0000 0.0000 0.1097
0.5000 0.5000 0.5177
0.0000 0.0000 0.6078
0.5000 0.0000 0.5142
0.0000 0.5000 0.5142
```

Values from the calculation:
E_tot, eV for the cell shown: -33.23

=====

No. 3
Na3CaSi after structural relaxation. Source: the Alexandria database, functional PBE-GGA.

Structure (POSCAR):
```
Na3CaSi
1.0
5.9890 0.0000 0.0000
0.0000 5.9890 0.0000
0.0000 0.0000 5.9890
Na Ca Si
3 1 1
direct
0.0000 0.5000 0.0000
0.0000 0.0000 0.5000
0.5000 0.0000 0.0000
0.0000 0.0000 0.0000
0.5000 0.5000 0.5000
```

Values from the calculation:
E_tot, eV for the cell shown: -5.94
E above lowest polymorph, meV per atom: 798

=====

No. 4
FeMo2Cl after structural relaxation. Source: the Alexandria database, functional PBE-GGA.

Structure (POSCAR):
```
FeMo2Cl
1.0
-0.8078 1.7166 2.1781
-2.5294 0.4741 -1.3117
-2.8530 -5.7063 3.4391
Mo Fe Cl
2 1 1
direct
0.0000 0.0000 0.9859
0.5000 0.5000 0.2539
0.5000 0.5000 0.7693
0.0000 0.0000 0.4910
```

Values from the calculation:
E_tot, eV for the cell shown: -30.29
E above lowest polymorph, meV per atom: 134

=====

No. 5
YTeOs2 after structural relaxation. Source: the Alexandria database, functional PBE-GGA.

Structure (POSCAR):
```
YTeOs2
1.0
-3.2540 3.4577 -3.0343
-4.7083 -2.1492 -2.2278
2.9141 1.1283 4.6888
Os Te Y
2 1 1
direct
0.0186 0.0186 0.0000
0.4814 0.4814 0.0000
0.2500 0.7500 0.5000
0.7500 0.2500 0.5000
```

Values from the calculation:
E_tot, eV for the cell shown: -30.43

=====

No. 6
CuIrRhO6 after structural relaxation. Source: the Alexandria database, functional PBE-GGA.

Structure (POSCAR):
```
CuIrRhO6
1.0
5.1077 0.0000 0.0000
-2.5538 4.4234 0.0000
0.0000 0.0000 8.7082
Cu Ir Rh O
2 2 2 12
direct
0.0000 0.0000 0.0000
0.0000 0.0000 0.5000
0.6667 0.3333 0.2500
0.3333 0.6667 0.7500
0.3333 0.6667 0.2500
0.6667 0.3333 0.7500
0.6479 0.6419 0.1254
0.9941 0.3521 0.1254
0.3521 0.9941 0.6254
0.0059 0.6479 0.8746
0.3581 0.3521 0.3746
0.9941 0.6419 0.3746
0.6419 0.9941 0.8746
0.6479 0.0059 0.3746
0.0059 0.3581 0.6254
0.3581 0.0059 0.1254
0.6419 0.6479 0.6254
0.3521 0.3581 0.8746
```

Values from the calculation:
E_tot, eV for the cell shown: -110.01

=====

No. 7
InReAg after structural relaxation. Source: the Alexandria database, functional PBE-GGA.

Structure (POSCAR):
```
InReAg
1.0
7.0175 0.0288 0.0000
5.8561 3.8668 0.0000
-6.4368 -1.9478 2.0049
Re Ag In
1 1 1
direct
0.6659 0.6659 0.0000
0.0066 0.0066 0.0000
0.3276 0.3276 0.0000
```

Values from the calculation:
DFT formation energy, eV per formula unit: 1.99
E_tot, eV for the cell shown: -16.05
E above lowest polymorph, meV per atom: 81

=====

No. 8
NaFeBi2Br after structural relaxation. Source: the Alexandria database, functional PBE-GGA.

Structure (POSCAR):
```
NaFeBi2Br
1.0
5.9782 0.0000 0.0000
0.0000 4.2834 0.0000
0.0000 0.0000 5.9782
Na Bi Br Fe
1 2 1 1
direct
0.5000 0.5000 0.5000
0.0000 0.0000 0.5000
0.5000 0.0000 0.0000
0.0000 0.0000 0.0000
0.0000 0.5000 0.0000
```

Values from the calculation:
E_tot, eV for the cell shown: -15.12
E above lowest polymorph, meV per atom: 757

=====

No. 9
Nd2Zr2S7 after structural relaxation. Source: the Alexandria database, functional PBE-GGA.

Structure (POSCAR):
```
Nd2Zr2S7
1.0
3.8803 0.0000 0.0000
1.9402 8.1553 -0.1210
1.9402 3.7602 7.2377
Nd Zr S
2 2 7
direct
0.7283 0.8535 0.6900
0.2717 0.3100 0.1465
0.0000 0.7847 0.2153
0.5000 0.3490 0.6510
0.8216 0.0523 0.3046
0.8755 0.4197 0.8293
0.5000 0.0048 0.9952
0.6024 0.5044 0.2907
0.3976 0.7093 0.4956
0.1784 0.6954 0.9477
0.1245 0.1707 0.5803
```

Values from the calculation:
E_tot, eV for the cell shown: -74.12

=====

No. 10
LiPuIr after structural relaxation. Source: the Alexandria database, functional PBE-GGA.

Structure (POSCAR):
```
LiPuIr
1.0
-1.6387 -1.2260 2.2560
-2.9006 -1.6690 -3.0139
3.5713 -2.4302 1.2735
Ir Li Pu
1 1 1
direct
0.1551 0.0000 0.0000
0.1767 0.6667 0.3333
0.6682 0.3333 0.6667
```

Values from the calculation:
DFT formation energy, eV per formula unit: -0.59
E_tot, eV for the cell shown: -25.70
E above lowest polymorph, meV per atom: 182

=====

No. 11
K2AgGe2 after structural relaxation. Source: the Alexandria database, functional PBE-GGA.

Structure (POSCAR):
```
K2AgGe2
1.0
-3.4424 -3.8881 4.5890
5.8670 -3.3354 1.5751
1.0806 3.8065 4.0357
Ge K Ag
4 4 2
direct
0.3711 0.8711 0.0000
0.8711 0.6289 0.0000
0.6289 0.1289 0.0000
0.1289 0.3711 0.0000
0.1809 0.6809 0.5000
0.6809 0.8191 0.5000
0.8191 0.3191 0.5000
0.3191 0.1809 0.5000
0.0000 0.0000 0.0000
0.5000 0.5000 0.0000
```

Values from the calculation:
DFT formation energy, eV per formula unit: 0.15
E_tot, eV for the cell shown: -28.26
E above lowest polymorph, meV per atom: 0

=====

No. 12
Er6Ga2AsSe3 after structural relaxation. Source: the Alexandria database, functional PBE-GGA.

Structure (POSCAR):
```
Er6Ga2AsSe3
1.0
3.9920 0.0000 0.0000
0.0000 8.3504 0.0246
-1.9960 -2.6899 8.6451
Er Ga As Se
6 2 1 3
direct
0.3347 0.9033 0.6695
0.6626 0.5967 0.3252
0.6653 0.0967 0.3305
0.0062 0.2455 0.0124
0.9938 0.7545 0.9876
0.3374 0.4033 0.6748
0.8265 0.6460 0.6530
0.1735 0.3540 0.3470
0.5000 0.0000 0.0000
0.5000 0.5000 0.0000
0.8373 0.1549 0.6746
0.1627 0.8451 0.3254
```

Values from the calculation:
E_tot, eV for the cell shown: -64.28

=====

Summary of magnetic moment in μB per cell
0.0 0.1 0.1 1.3 0.0 0.0 0.0 0.1 0.0 5.3 0.0 0.0
(order as listed above)